# 1
Computed, not measured: crystalline MgNiMoRu at its relaxed geometry at the PBE-GGA level of DFT.

The structure in CIF format:
```
data_MgNiMoRu
_symmetry_space_group_name_H-M 'F -4 3 m'
_symmetry_Int_Tables_number 216
_symmetry_space_group_name_Hall 'F -4 2 3'
_cell_length_a 6.128
_cell_length_b 6.128
_cell_length_c 6.128
_cell_angle_alpha 90.00
_cell_angle_beta 90.00
_cell_angle_gamma 90.00
loop_
_atom_site_label
_atom_site_fract_x
_atom_site_fract_y
_atom_site_fract_z
Mg1 0.000 0.000 0.000
Ni1 0.250 0.250 0.750
Mo1 0.000 0.000 0.500
Ru1 0.250 0.250 0.250
```

Values from the calculation:
Energy relative to the elements in eV/atom: 0.033


# 2
Computed, not measured: crystalline Mg2Ni3MoS8 at its relaxed geometry at the PBE-GGA level of DFT.

The structure in CIF format:
```
data_Mg2Ni3MoS8
_symmetry_space_group_name_H-M 'R -3 m'
_symmetry_Int_Tables_number 166
_symmetry_space_group_name_Hall '-R 3 2"'
_cell_length_a 7.0713
_cell_length_b 7.0713
_cell_length_c 17.5705
_cell_angle_alpha 90.00
_cell_angle_beta 90.00
_cell_angle_gamma 120.00
loop_
_atom_site_label
_atom_site_fract_x
_atom_site_fract_y
_atom_site_fract_z
Mg1 0.0000 0.0000 0.1298
Ni1 0.0000 0.5000 0.0000
Mo1 0.0000 0.0000 0.5000
S1 0.0000 0.0000 0.2694
S2 0.0341 0.5170 0.2577
```

Values from the calculation:
Uncorrected formation energy in eV per atom: -0.517


# 3
Computed, not measured: crystalline MgTcNiMo at its relaxed geometry at the PBE-GGA level of DFT.

The structure in CIF format:
```
data_MgTcNiMo
_symmetry_space_group_name_H-M 'F -4 3 m'
_symmetry_Int_Tables_number 216
_symmetry_space_group_name_Hall 'F -4 2 3'
_cell_length_a 6.149
_cell_length_b 6.149
_cell_length_c 6.149
_cell_angle_alpha 90.00
_cell_angle_beta 90.00
_cell_angle_gamma 90.00
loop_
_atom_site_label
_atom_site_fract_x
_atom_site_fract_y
_atom_site_fract_z
Mg1 0.000 0.000 0.000
Tc1 0.250 0.250 0.250
Ni1 0.250 0.250 0.750
Mo1 0.000 0.000 0.500
```

Values from the calculation:
Energy relative to the elements in eV/atom: 0.098


# 4
Computed, not measured: crystalline Mg2TiNiMo at its relaxed geometry at the PBE-GGA level of DFT.

The structure in CIF format:
```
data_Mg2TiNiMo
_symmetry_space_group_name_H-M 'P 4/m m m'
_symmetry_Int_Tables_number 123
_symmetry_space_group_name_Hall '-P 4 2'
_cell_length_a 5.097
_cell_length_b 5.097
_cell_length_c 4.338
_cell_angle_alpha 90.00
_cell_angle_beta 90.00
_cell_angle_gamma 90.00
loop_
_atom_site_label
_atom_site_fract_x
_atom_site_fract_y
_atom_site_fract_z
Mg1 0.000 0.500 0.000
Ti1 0.000 0.000 0.000
Ni1 0.500 0.500 0.500
Mo1 0.000 0.000 0.500
```

Values from the calculation:
Energy relative to the elements in eV/atom: 1.384


# 5
Computed, not measured: crystalline Mg2NiMoW at its relaxed geometry at the PBE-GGA level of DFT.

The structure in CIF format:
```
data_Mg2NiMoW
_symmetry_space_group_name_H-M 'P 4/m m m'
_symmetry_Int_Tables_number 123
_symmetry_space_group_name_Hall '-P 4 2'
_cell_length_a 4.367
_cell_length_b 4.367
_cell_length_c 4.696
_cell_angle_alpha 90.00
_cell_angle_beta 90.00
_cell_angle_gamma 90.00
loop_
_atom_site_label
_atom_site_fract_x
_atom_site_fract_y
_atom_site_fract_z
Mg1 0.000 0.500 0.000
Ni1 0.000 0.000 0.000
Mo1 0.500 0.500 0.500
W1 0.000 0.000 0.500
```

Values from the calculation:
Energy relative to the elements in eV/atom: 1.033